Entry 1:
The following is a DFT calculation (PBE-GGA) of an optimized crystal structure of Cs2HgSbCl6.

Computed properties:
* DOS(E_F): 3.08 states/eV per cell
* SG: Fm-3m (225)

The structure in POSCAR format:
```
Cs2HgSbCl6
1.0
7.8919 0.0000 0.0000
3.9459 6.8346 0.0000
3.9459 2.2782 6.4437
Cs Cl Hg Sb
2 6 1 1
direct
0.7500 0.7500 0.7500
0.2500 0.2500 0.2500
0.7631 0.2369 0.7631
0.2369 0.7631 0.7631
0.7631 0.7631 0.2369
0.7631 0.2369 0.2369
0.2369 0.2369 0.7631
0.2369 0.7631 0.2369
0.5000 0.5000 0.5000
0.0000 0.0000 0.0000
```

Entry 2:
The following is a DFT calculation (PBE-GGA) of an optimized crystal structure of GaS6Br.

Computed properties:
* DOS(E_F): 1.62 states/eV per cell
* SG: P1 (1)

The structure in POSCAR format:
```
GaS6Br
1.0
3.9115 0.2229 -0.2192
2.1845 3.1885 -0.7002
-5.8422 -3.1871 17.5173
S Br Ga
6 1 1
direct
0.3419 0.4535 0.0513
0.3010 0.9376 0.6764
0.6881 0.9105 0.2742
0.9088 0.2499 0.3676
0.4216 0.3166 0.8815
0.5214 0.2793 0.7723
0.8210 0.3275 0.4901
0.9962 0.0251 0.9866
```

Entry 3:
The following is a DFT calculation (PBE-GGA) of an optimized crystal structure of Na6Cd7S10.

Computed properties:
* SG: Cm (8)

The structure in POSCAR format:
```
Na6Cd7S10
1.0
13.5157 0.0145 0.0047
12.8602 4.1581 0.0047
3.1907 0.5048 9.9703
S Na Cd
10 6 7
direct
0.0812 0.0812 0.9318
0.4723 0.4723 0.6913
0.9091 0.9091 0.0505
0.6826 0.6826 0.1252
0.3134 0.3134 0.8529
0.8889 0.8889 0.4822
0.5359 0.5359 0.2915
0.7188 0.7188 0.6863
0.1216 0.1216 0.5128
0.2896 0.2896 0.3033
0.3003 0.3003 0.5849
0.1198 0.1198 0.2495
0.0030 0.0030 0.8175
0.9896 0.9896 0.1855
0.8926 0.8926 0.7578
0.7079 0.7079 0.3737
0.4462 0.4462 0.4761
0.3511 0.3511 0.0472
0.5633 0.5633 0.5194
0.7506 0.7506 0.9018
0.1595 0.1595 0.7128
0.6074 0.6074 0.0318
0.8467 0.8467 0.2974
```

Formation energy without anion corrections in eV/atom, matching the order above: -1.247, -0.024, -0.816
Ρ in g/cm³, matching the order above: 3.826, 2.846, 3.704